Entry 1:
The following is a DFT calculation (PBE+U) of a geometry-optimized Rb3NaCr2F9 structure.

Results
E = -77.45 eV/cell
crystal system = trigonal
N(E_F) = 0.374 states/eV/atom
mass density = 3.94 g/cm³
magnetic moment = 7.000 μB/cell

Lattice parameters (Å, degrees): 6.0298 6.0298 7.4288 90.00 90.00 120.00
Space group P-3m1 (No. 164)
Inequivalent atoms, fractional coordinates:
Rb 0.0000 0.0000 0.0000
Rb 0.3333 0.6667 0.6512
Na 0.0000 0.0000 0.5000
Cr 0.3333 0.6667 0.1585
F 0.0000 0.5000 0.0000
F 0.1768 0.3535 0.3124

Entry 2:
The following is a DFT calculation (PBE+U) of a geometry-optimized Rb4NaCr3F12 structure.

Results
E = -211.04 eV/cell
crystal system = cubic
N(E_F) = 0.093 states/eV/atom
mass density = 3.98 g/cm³
magnetic moment = 22.000 μB/cell

Lattice parameters (Å, degrees): 8.551 8.551 8.551 90.00 90.00 90.00
Space group Im-3m (No. 229)
Inequivalent atoms, fractional coordinates:
Rb 0.250 0.250 0.250
Na 0.000 0.000 0.000
Cr 0.000 0.000 0.500
F 0.000 0.000 0.270
F 0.000 0.250 0.500

Entry 3:
The following is a DFT calculation (PBE+U) of a geometry-optimized Rb3Na3CrF8 structure.

Results
E = -137.88 eV/cell
crystal system = monoclinic
N(E_F) = 0.000 states/eV/atom
mass density = 3.23 g/cm³
magnetic moment = 8.000 μB/cell

Lattice parameters (Å, degrees): 12.110 7.106 7.502 90.00 122.62 90.00
Space group C2/m (No. 12)
Inequivalent atoms, fractional coordinates:
Rb 0.000 0.000 0.000
Rb 0.250 0.250 0.000
Na 0.000 0.500 0.500
Na 0.250 0.250 0.500
Cr 0.000 0.000 0.500
F 0.015 0.232 0.312
F 0.200 0.000 0.677
F 0.234 0.500 0.701

Entry 4:
The following is a DFT calculation (PBE+U) of a geometry-optimized NaCr2SbF6 structure.

Results
E = -53.76 eV/cell
crystal system = triclinic
mass density = 3.97 g/cm³
magnetic moment = 8.000 μB/cell

Lattice parameters (Å, degrees): 5.211 5.723 5.889 64.96 86.21 73.05
Space group P1 (No. 1)
Inequivalent atoms, fractional coordinates:
Na 0.000 0.000 0.000
Cr 0.266 0.534 0.811
Cr 0.727 0.441 0.216
Sb 0.503 0.998 0.505
F 0.120 0.219 0.226
F 0.221 0.266 0.683
F 0.347 0.652 0.093
F 0.648 0.335 0.886
F 0.744 0.770 0.302
F 0.874 0.760 0.800

Entry 5:
The following is a DFT calculation (PBE+U) of a geometry-optimized NaScCrF6 structure.

Results
E = -106.42 eV/cell
crystal system = trigonal
N(E_F) = 0.684 states/eV/atom
mass density = 3.10 g/cm³
magnetic moment = 3.999 μB/cell

Lattice parameters (Å, degrees): 5.3931 5.3931 9.9562 90.00 90.00 120.00
Space group P-31c (No. 163)
Inequivalent atoms, fractional coordinates:
Na 0.0000 0.0000 0.0000
Sc 0.3333 0.6667 0.2500
Cr 0.3333 0.6667 0.7500
F 0.0020 0.3545 0.6396

Entry 6:
The following is a DFT calculation (PBE+U) of a geometry-optimized Na2CrSeF structure.

Results
E = -20.17 eV/cell
crystal system = tetragonal
N(E_F) = 0.216 states/eV/atom
mass density = 2.94 g/cm³
magnetic moment = 4.817 μB/cell

Lattice parameters (Å, degrees): 4.155 4.155 6.414 90.00 90.00 90.00
Space group P4/mmm (No. 123)
Inequivalent atoms, fractional coordinates:
Na 0.000 0.500 0.000
Cr 0.000 0.000 0.500
Se 0.500 0.500 0.500
F 0.500 0.500 0.000

Entry 7:
The following is a DFT calculation (PBE+U) of a geometry-optimized Na2SmCrF8 structure.

Results
E = -67.98 eV/cell
crystal system = monoclinic
N(E_F) = 0.000 states/eV/atom
mass density = 3.70 g/cm³
magnetic moment = 3.000 μB/cell

Lattice parameters (Å, degrees): 5.080 6.822 5.183 90.00 90.86 90.00
Space group P2/m (No. 10)
Inequivalent atoms, fractional coordinates:
Na 0.000 0.232 0.000
Sm 0.500 0.500 0.500
Cr 0.500 0.000 0.500
F 0.186 0.500 0.203
F 0.228 0.000 0.239
F 0.324 0.220 0.681

Entry 8:
The following is a DFT calculation (PBE+U) of a geometry-optimized Na2SrCrF6 structure.

Results
E = -106.26 eV/cell
crystal system = monoclinic
N(E_F) = 0.000 states/eV/atom
mass density = 3.30 g/cm³
magnetic moment = 8.000 μB/cell

Lattice parameters (Å, degrees): 5.797 5.904 10.235 90.00 120.56 90.00
Space group P2_1/c (No. 14)
Inequivalent atoms, fractional coordinates:
Na 0.220 0.049 0.238
Sr 0.500 0.000 0.000
Cr 0.000 0.000 0.500
F 0.093 0.210 0.929
F 0.192 0.680 0.914
F 0.401 0.100 0.748